[1]
## TbNdNi4 (PBE-GGA)

Data for a relaxed structure of TbNdNi4.

Properties
Magnetic moment (μB per cell): 0.0
Energy relative to the elements (eV/atom): -0.37
DOS at the Fermi energy (states/eV per atom): 0.749

a b c (Å): 5.127 5.127 5.127
angles (deg): 60.00 60.00 60.00
Sites, in units of the cell vectors:
Tb  0.000  0.000  0.000
Nd  0.750  0.750  0.750
Ni  0.374  0.374  0.374
Ni  0.374  0.374  0.877
Ni  0.374  0.877  0.374
Ni  0.877  0.374  0.374

***

[2]
## Tb2NdNi9 (PBE-GGA)

Data for a relaxed structure of Tb2NdNi9.

Properties
Magnetic moment (μB per cell): 0.7
Energy relative to the elements (eV/atom): -0.38
DOS at the Fermi energy (states/eV per atom): 1.299

a b c (Å): 8.634 8.634 8.634
angles (deg): 33.70 33.70 33.70
Sites, in units of the cell vectors:
Tb  0.140  0.140  0.140
Tb  0.860  0.860  0.860
Nd  0.000  0.000  0.000
Ni  0.082  0.583  0.583
Ni  0.333  0.333  0.333
Ni  0.417  0.417  0.918
Ni  0.417  0.918  0.417
Ni  0.500  0.500  0.500
Ni  0.583  0.082  0.583
Ni  0.583  0.583  0.082
Ni  0.667  0.667  0.667
Ni  0.918  0.417  0.417

***

[3]
## TbNdNi (PBE-GGA)

Data for a relaxed structure of TbNdNi.

Properties
Magnetic moment (μB per cell): 0.0
Energy relative to the elements (eV/atom): -0.18
Polymorph energy (0 for the lowest one) (meV per atom): 3
DOS at the Fermi energy (states/eV per atom): 1.193

a b c (Å): 6.795 6.795 6.795
angles (deg): 150.41 150.41 42.34
Sites, in units of the cell vectors:
Tb  0.000  0.000  0.000
Nd  0.739  0.739  0.000
Ni  0.380  0.380  0.000

***

[4]
## Tb5NdNi2 (PBE-GGA)

Data for a relaxed structure of Tb5NdNi2.

Properties
Magnetic moment (μB per cell): 0.0
Energy relative to the elements (eV/atom): -0.13
DOS at the Fermi energy (states/eV per atom): 1.434

a b c (Å): 6.781 6.781 18.405
angles (deg): 90.00 90.00 148.62
Sites, in units of the cell vectors:
Tb  0.063  0.937  0.591
Tb  0.063  0.937  0.909
Tb  0.330  0.670  0.557
Tb  0.330  0.670  0.943
Tb  0.409  0.591  0.250
Tb  0.591  0.409  0.750
Tb  0.670  0.330  0.057
Tb  0.670  0.330  0.443
Tb  0.937  0.063  0.091
Tb  0.937  0.063  0.409
Nd  0.319  0.681  0.750
Nd  0.681  0.319  0.250
Ni  0.282  0.718  0.134
Ni  0.282  0.718  0.366
Ni  0.718  0.282  0.634
Ni  0.718  0.282  0.866

***

[5]
## TbNdNi (PBE-GGA)

Data for a relaxed structure of TbNdNi.

Properties
Magnetic moment (μB per cell): 0.0
Energy relative to the elements (eV/atom): -0.09
Polymorph energy (0 for the lowest one) (meV per atom): 90
DOS at the Fermi energy (states/eV per atom): 1.075

a b c (Å): 4.834 4.834 4.834
angles (deg): 60.00 60.00 60.00
Sites, in units of the cell vectors:
Tb  0.000  0.000  0.000
Nd  0.500  0.500  0.500
Ni  0.250  0.250  0.250

***

[6]
## Tb2NdNi2 (PBE-GGA)

Data for a relaxed structure of Tb2NdNi2.

Properties
Magnetic moment (μB per cell): 0.0
Energy relative to the elements (eV/atom): -0.21
DOS at the Fermi energy (states/eV per atom): 1.302

a b c (Å): 6.132 6.132 5.529
angles (deg): 103.21 103.21 36.44
Sites, in units of the cell vectors:
Tb  0.149  0.149  0.088
Tb  0.851  0.851  0.912
Nd  0.500  0.500  0.500
Ni  0.219  0.219  0.613
Ni  0.781  0.781  0.387

***

[7]
## NdNiTe (PBE-GGA)

Data for a relaxed structure of NdNiTe.

Properties
Magnetic moment (μB per cell): 0.0
DOS at the Fermi energy (states/eV per atom): 0.669
Formation energy (no corrections) (eV per formula unit): -2.7

a b c (Å): 4.296 4.296 4.252
angles (deg): 90.00 90.00 120.00
Sites, in units of the cell vectors:
Nd  0.000  0.000  0.000
Ni  0.333  0.667  0.499
Te  0.667  0.333  0.500

***

[8]
## Nd2NiTe (PBE-GGA)

Data for a relaxed structure of Nd2NiTe.

Properties
Magnetic moment (μB per cell): 0.0
Polymorph energy (0 for the lowest one) (meV per atom): 18
DOS at the Fermi energy (states/eV per atom): 0.498
Formation energy (no corrections) (eV per formula unit): -3.1

a b c (Å): 7.910 7.910 7.910
angles (deg): 30.55 30.55 30.55
Sites, in units of the cell vectors:
Nd  0.237  0.237  0.237
Nd  0.763  0.763  0.763
Ni  0.500  0.500  0.500
Te  0.000  0.000  0.000

***

- What is the formula in the third record?
  TbNdNi